Entry from Alexandria: crystalline RbNbAu2 at its relaxed geometry (PBE-GGA).

Cell and atoms, written as POSCAR:
```
RbNbAu2
1.0
0.000 3.652 3.652
3.652 0.000 3.652
3.652 3.652 0.000
Rb Nb Au
1 1 2
direct
0.000 0.000 0.000 Rb
0.500 0.500 0.500 Nb
0.250 0.250 0.250 Au
0.750 0.750 0.750 Au
```

SG: No. 225
DOS at the Fermi energy: 4.5 states/eV/cell
Relative energy among the computed polymorphs: 121 meV per atom
Energy of formation: 2.92 eV/f.u.

***

Entry from Alexandria: crystalline Ba3GaSe at its relaxed geometry (PBE-GGA).

Cell and atoms, written as POSCAR:
```
Ba3GaSe
1.0
6.256 0.000 0.000
0.000 6.256 0.000
0.000 0.000 6.256
Ba Ga Se
3 1 1
direct
0.000 0.000 0.500 Ba
0.000 0.500 0.000 Ba
0.500 0.000 0.000 Ba
0.500 0.500 0.500 Ga
0.000 0.000 0.000 Se
```

SG: No. 221
DOS at the Fermi energy: 2.9 states/eV/cell
Relative energy among the computed polymorphs: 0 meV per atom
E_form (uncorrected): -0.6524 eV/atom

***

Entry from Alexandria: crystalline NaNi5Ge3 at its relaxed geometry (PBE-GGA).

Cell and atoms, written as POSCAR:
```
NaNi5Ge3
1.0
1.871 -6.139 0.000
1.871 6.139 0.000
0.000 0.000 11.669
Na Ni Ge
2 10 6
direct
0.184 0.816 0.750 Na
0.816 0.184 0.250 Na
0.000 0.000 0.000 Ni
0.000 0.000 0.500 Ni
0.192 0.808 0.061 Ni
0.192 0.808 0.439 Ni
0.444 0.556 0.639 Ni
0.444 0.556 0.861 Ni
0.556 0.444 0.139 Ni
0.556 0.444 0.361 Ni
0.808 0.192 0.561 Ni
0.808 0.192 0.939 Ni
0.098 0.902 0.250 Ge
0.379 0.621 0.053 Ge
0.379 0.621 0.447 Ge
0.621 0.379 0.553 Ge
0.621 0.379 0.947 Ge
0.902 0.098 0.750 Ge
```

SG: No. 63
DOS at the Fermi energy: 7.0 states/eV/cell
Energy of formation: -2.31 eV/f.u.

***

Entry from Alexandria: crystalline LiNdNiHg at its relaxed geometry (PBE-GGA).

Cell and atoms, written as POSCAR:
```
LiNdNiHg
1.0
0.000 3.376 3.376
3.376 0.000 3.376
3.376 3.376 0.000
Li Nd Ni Hg
1 1 1 1
direct
0.000 0.000 0.000 Li
0.250 0.250 0.250 Nd
0.500 0.500 0.500 Ni
0.750 0.750 0.750 Hg
```

SG: No. 216
DOS at the Fermi energy: 5.1 states/eV/cell
Energy of formation: -0.80 eV/f.u.

***

Entry from Alexandria: crystalline Ce4P2SeS at its relaxed geometry (PBE-GGA).

Cell and atoms, written as POSCAR:
```
Ce4P2SeS
1.0
7.115 0.000 0.000
0.000 4.102 0.000
-2.365 0.000 6.716
Ce P Se S
4 2 1 1
direct
0.241 0.000 0.239 Ce
0.247 0.500 0.757 Ce
0.753 0.500 0.243 Ce
0.759 0.000 0.761 Ce
0.000 0.500 0.000 P
0.500 0.000 0.000 P
0.500 0.500 0.500 Se
0.000 0.000 0.500 S
```

SG: No. 10
DOS at the Fermi energy: 20.4 states/eV/cell
E_form (uncorrected): -1.7373 eV/atom

***

Entry from Alexandria: crystalline Ca2MgSb at its relaxed geometry (PBE-GGA).

Cell and atoms, written as POSCAR:
```
Ca2MgSb
1.0
-2.110 2.494 5.721
2.110 -2.494 5.721
2.110 2.494 -5.721
Ca Mg Sb
2 1 1
direct
0.000 0.000 0.000 Ca
0.721 0.221 0.500 Ca
0.288 0.788 0.500 Mg
0.477 0.477 0.000 Sb
```

SG: No. 44
DOS at the Fermi energy: 3.0 states/eV/cell
Relative energy among the computed polymorphs: 123 meV per atom
E_form (uncorrected): -0.4514 eV/atom

***

Entry from Alexandria: crystalline Pr5Y2Ge4 at its relaxed geometry (PBE-GGA).

Cell and atoms, written as POSCAR:
```
Pr5Y2Ge4
1.0
10.783 -1.933 0.000
10.783 1.933 0.000
-0.788 0.000 8.366
Pr Y Ge
5 2 4
direct
0.000 0.000 0.000 Pr
0.339 0.339 0.028 Pr
0.400 0.400 0.571 Pr
0.600 0.600 0.429 Pr
0.661 0.661 0.972 Pr
0.233 0.233 0.664 Y
0.767 0.767 0.336 Y
0.104 0.104 0.717 Ge
0.471 0.471 0.266 Ge
0.529 0.529 0.734 Ge
0.896 0.896 0.283 Ge
```

SG: No. 12
DOS at the Fermi energy: 13.0 states/eV/cell
Energy of formation: -3.19 eV/f.u.

***

Entry from Alexandria: crystalline Er3BeP2Rh9 at its relaxed geometry (PBE-GGA).

Cell and atoms, written as POSCAR:
```
Er3BeP2Rh9
1.0
6.172 0.000 0.000
-3.086 5.346 0.000
0.000 0.000 7.518
Er Be P Rh
3 1 2 9
direct
0.000 0.000 0.000 Er
0.333 0.667 0.659 Er
0.667 0.333 0.341 Er
0.000 0.000 0.500 Be
0.333 0.667 0.180 P
0.667 0.333 0.820 P
0.000 0.500 0.000 Rh
0.161 0.322 0.334 Rh
0.161 0.839 0.334 Rh
0.322 0.161 0.666 Rh
0.500 0.000 0.000 Rh
0.500 0.500 0.000 Rh
0.678 0.839 0.334 Rh
0.839 0.161 0.666 Rh
0.839 0.678 0.666 Rh
```

SG: No. 164
DOS at the Fermi energy: 1.0 states/eV/cell
Energy of formation: -11.48 eV/f.u.

***

Entry from Alexandria: crystalline Tb2SmY3Er6 at its relaxed geometry (PBE-GGA).

Cell and atoms, written as POSCAR:
```
Tb2SmY3Er6
1.0
3.070 -5.311 0.000
3.070 5.311 0.000
-2.038 0.000 11.550
Tb Sm Y Er
2 1 3 6
direct
0.167 0.833 0.000 Tb
0.833 0.167 0.000 Tb
0.500 0.500 0.000 Sm
0.000 0.000 0.500 Y
0.333 0.667 0.500 Y
0.667 0.333 0.500 Y
0.082 0.416 0.750 Er
0.250 0.250 0.250 Er
0.416 0.082 0.750 Er
0.584 0.918 0.250 Er
0.750 0.750 0.750 Er
0.918 0.584 0.250 Er
```

SG: No. 12
DOS at the Fermi energy: 16.9 states/eV/cell
Energy of formation: 0.26 eV/f.u.

***

Entry from Alexandria: crystalline GeSbTe2Ir at its relaxed geometry (PBE-GGA).

Cell and atoms, written as POSCAR:
```
GeSbTe2Ir
1.0
5.192 0.000 0.000
0.000 5.192 0.000
0.000 0.000 5.195
Ge Sb Te Ir
1 1 2 1
direct
0.000 0.000 0.000 Ge
0.000 0.000 0.500 Sb
0.000 0.500 0.000 Te
0.500 0.000 0.000 Te
0.500 0.500 0.500 Ir
```

SG: No. 123
DOS at the Fermi energy: 4.5 states/eV/cell
Relative energy among the computed polymorphs: 744 meV per atom
E_form (uncorrected): 1.3234 eV/atom

***

Entry from Alexandria: crystalline Li8NiAg2 at its relaxed geometry (PBE-GGA).

Cell and atoms, written as POSCAR:
```
Li8NiAg2
1.0
-2.272 3.815 5.233
2.272 -3.815 5.233
2.272 3.815 -5.233
Li Ni Ag
8 1 2
direct
0.126 0.126 0.000 Li
0.156 0.355 0.801 Li
0.321 0.000 0.321 Li
0.447 0.645 0.801 Li
0.553 0.355 0.199 Li
0.679 0.000 0.679 Li
0.844 0.645 0.199 Li
0.874 0.874 0.000 Li
0.000 0.500 0.500 Ni
0.266 0.766 0.500 Ag
0.734 0.234 0.500 Ag
```

SG: No. 71
DOS at the Fermi energy: 5.2 states/eV/cell
Relative energy among the computed polymorphs: 13 meV per atom
Energy of formation: -0.52 eV/f.u.

***

Entry from Alexandria: crystalline TePdCl at its relaxed geometry (PBE-GGA).

Cell and atoms, written as POSCAR:
```
TePdCl
1.0
4.127 0.000 0.000
0.054 5.221 0.000
0.716 0.389 6.816
Te Pd Cl
2 2 2
direct
0.193 0.239 0.075 Te
0.807 0.761 0.925 Te
0.296 0.517 0.748 Pd
0.704 0.483 0.252 Pd
0.290 0.754 0.423 Cl
0.710 0.246 0.577 Cl
```

SG: No. 2
DOS at the Fermi energy: 1.6 states/eV/cell
E_form (uncorrected): -0.4033 eV/atom

***

Entry from Alexandria: crystalline CePmCoAu at its relaxed geometry (PBE-GGA).

Cell and atoms, written as POSCAR:
```
CePmCoAu
1.0
0.000 3.571 3.571
3.571 0.000 3.571
3.571 3.571 0.000
Ce Pm Co Au
1 1 1 1
direct
0.000 0.000 0.000 Ce
0.500 0.500 0.500 Pm
0.750 0.750 0.750 Co
0.250 0.250 0.250 Au
```

SG: No. 216
DOS at the Fermi energy: 7.4 states/eV/cell
Energy of formation: -1.13 eV/f.u.

***

Entry from Alexandria: crystalline SrPb2O3 at its relaxed geometry (PBE-GGA).

Cell and atoms, written as POSCAR:
```
SrPb2O3
1.0
-2.122 5.726 2.753
2.122 -5.726 2.753
2.122 5.726 -2.753
Sr Pb O
1 2 3
direct
0.000 0.000 0.000 Sr
0.353 0.015 0.338 Pb
0.677 0.015 0.662 Pb
0.224 0.724 0.500 O
0.577 0.759 0.818 O
0.941 0.759 0.182 O
```

SG: No. 44
E_form (uncorrected): -1.4911 eV/atom

***

Entry from Alexandria: crystalline LiLa2ScH at its relaxed geometry (PBE-GGA).

Cell and atoms, written as POSCAR:
```
LiLa2ScH
1.0
5.549 0.000 0.000
0.000 5.549 0.000
0.000 0.000 4.021
Li La Sc H
1 2 1 1
direct
0.000 0.000 0.000 Li
0.000 0.500 0.500 La
0.500 0.000 0.500 La
0.500 0.500 0.000 Sc
0.500 0.500 0.500 H
```

SG: No. 123
DOS at the Fermi energy: 6.5 states/eV/cell
Relative energy among the computed polymorphs: 64 meV per atom

***

Entry from Alexandria: crystalline CdHg3Au at its relaxed geometry (PBE-GGA).

Cell and atoms, written as POSCAR:
```
CdHg3Au
1.0
5.482 0.000 0.000
0.000 5.482 0.000
0.000 0.000 5.482
Cd Hg Au
1 3 1
direct
0.000 0.000 0.000 Cd
0.000 0.500 0.500 Hg
0.500 0.000 0.500 Hg
0.500 0.500 0.000 Hg
0.500 0.500 0.500 Au
```

SG: No. 221
DOS at the Fermi energy: 1.1 states/eV/cell
Relative energy among the computed polymorphs: 0 meV per atom
Energy of formation: 0.56 eV/f.u.

***

Entry from Alexandria: crystalline Mn2Co5GeB2 at its relaxed geometry (PBE-GGA).

Cell and atoms, written as POSCAR:
```
Mn2Co5GeB2
1.0
8.519 0.000 0.000
0.000 8.519 0.000
0.000 0.000 2.844
Mn Co Ge B
4 10 2 4
direct
0.176 0.324 0.000 Mn
0.324 0.824 0.000 Mn
0.676 0.176 0.000 Mn
0.824 0.676 0.000 Mn
0.000 0.500 0.500 Co
0.070 0.783 0.500 Co
0.217 0.070 0.500 Co
0.283 0.570 0.500 Co
0.430 0.283 0.500 Co
0.500 0.000 0.500 Co
0.570 0.717 0.500 Co
0.717 0.430 0.500 Co
0.783 0.930 0.500 Co
0.930 0.217 0.500 Co
0.000 0.000 0.000 Ge
0.500 0.500 0.000 Ge
0.123 0.623 0.000 B
0.377 0.123 0.000 B
0.623 0.877 0.000 B
0.877 0.377 0.000 B
```

SG: No. 127
DOS at the Fermi energy: 13.5 states/eV/cell
Energy of formation: -2.69 eV/f.u.

***

Entry from Alexandria: crystalline K2MoI4Br2 at its relaxed geometry (PBE-GGA).

Cell and atoms, written as POSCAR:
```
K2MoI4Br2
1.0
6.594 -4.070 0.000
6.594 4.070 0.000
-5.022 0.000 6.454
K Mo I Br
2 1 4 2
direct
0.248 0.248 0.221 K
0.752 0.752 0.779 K
0.000 0.000 0.500 Mo
0.205 0.722 0.701 I
0.278 0.795 0.299 I
0.722 0.205 0.701 I
0.795 0.278 0.299 I
0.241 0.241 0.798 Br
0.759 0.759 0.202 Br
```

SG: No. 12
DOS at the Fermi energy: 6.5 states/eV/cell
E_form (uncorrected): -0.8399 eV/atom

***

Entry from Alexandria: crystalline MgTeW at its relaxed geometry (PBE-GGA).

Cell and atoms, written as POSCAR:
```
MgTeW
1.0
-1.744 1.744 4.696
1.744 -1.744 4.696
1.744 1.744 -4.696
Mg Te W
1 1 1
direct
0.000 0.000 0.000 Mg
0.313 0.313 0.000 Te
0.674 0.674 0.000 W
```

SG: No. 107
DOS at the Fermi energy: 0.5 states/eV/cell
Relative energy among the computed polymorphs: 0 meV per atom
E_form (uncorrected): 0.3462 eV/atom

***

Entry from Alexandria: crystalline GdYGaRh at its relaxed geometry (PBE-GGA).

Cell and atoms, written as POSCAR:
```
GdYGaRh
1.0
0.000 3.533 3.533
3.533 0.000 3.533
3.533 3.533 0.000
Gd Y Ga Rh
1 1 1 1
direct
0.000 0.000 0.000 Gd
0.500 0.500 0.500 Y
0.750 0.750 0.750 Ga
0.250 0.250 0.250 Rh
```

SG: No. 216
DOS at the Fermi energy: 2.8 states/eV/cell
Energy of formation: -2.63 eV/f.u.